Computed, not measured: a relaxed Li2Mn2OF6 crystal at the PBE+U level of DFT.

Summary:
ρ ... 3002 kg/m³
Polymorph energy (0 for the lowest one) ... 37 kJ/mol of formula units
DFT total energy ... -5.658 eV per atom
Magnetic moment ... 8.00 μB/f.u.

a b c (Å): 5.311 6.843 8.490
angles (deg): 69.56 76.32 83.39
Fractional positions:
Li (0.118, 0.011, 0.267)
F (0.174, 0.016, 0.813)
Li (0.874, 0.977, 0.748)
Li (0.342, 0.763, 0.900)
F (0.223, 0.412, 0.578)
F (0.441, 0.580, 0.776)
F (0.812, 0.985, 0.194)
F (0.093, 0.203, 0.382)
F (0.548, 0.428, 0.224)
F (0.647, 0.241, 0.720)
F (0.081, 0.619, 0.090)
F (0.911, 0.794, 0.620)
Li (0.665, 0.248, 0.078)
F (0.333, 0.189, 0.054)
Mn (0.819, 0.519, 0.660)
Mn (0.267, 0.295, 0.820)
O (0.838, 0.569, 0.407)
O (0.929, 0.396, 0.871)
F (0.327, 0.748, 0.295)
Mn (0.188, 0.476, 0.328)
Mn (0.726, 0.710, 0.197)
F (0.644, 0.819, 0.975)